{
  "formula": "SrSmEr2Se4",
  "functional": "GGA-PBE",
  "state": "optimized geometry",
  "rho_g_cm3": 7.26,
  "formation_energy_uncorrected_ev_per_atom": -1.795,
  "total_energy_ry_per_atom": -0.403,
  "lattice": [[4.1272, 0.0000, 0.0000], [0.0000, 7.2242, -0.1754], [0.0000, 2.5119, 6.7566]],
  "species": ["Se", "Se", "Se", "Se", "Er", "Er", "Sr", "Sm"],
  "frac_coords": [[0.0000, 0.7686, 0.7401], [0.5000, 0.2348, 0.7519], [0.5000, 0.7652, 0.2481], [0.0000, 0.2314, 0.2599], [0.0000, 0.0000, 0.0000], [0.5000, 0.0000, 0.5000], [0.5000, 0.5000, 0.0000], [0.0000, 0.5000, 0.5000]]
}